## LaSi2NiAg (PBE)

Data for LaSi2NiAg after structural relaxation.

The space group is I-4m2 (No. 119) and the conventional cell measures 4.222, 4.222 and 10.111 Å, with angles of 90.00, 90.00 and 90.00 degrees. The inequivalent atoms are La at (0.000, 0.000, 0.000), Si at (0.000, 0.000, 0.381), Ni at (0.000, 0.500, 0.250) and Ag at (0.000, 0.500, 0.750).

As for the volume: 18.02 Å³/atom. Its total energy is -53.9 eV per cell. Its total magnetization is 0.00 μB/f.u.